# ScPaIn6

A relaxed ScPaIn6 crystal (PBE, the Alexandria database).

Cell: 4.5949 4.5949 9.1187 Å, 90.00 90.00 90.00°
Closest atoms and distances in Å follow each position.
Space group P4/mmm (No. 123)
Inequivalent atoms, fractional coordinates:
Sc 0.0000 0.0000 0.0000 [1 per cell]  12 In 3.19-3.25
Pa 0.0000 0.0000 0.5000 [1 per cell]  12 In 3.25-3.28
In 0.0000 0.5000 0.2425 [4 per cell]  8 In 3.19-3.28, 2 Sc 3.19, 2 Pa 3.28
In 0.5000 0.5000 0.0000 [1 per cell]  8 In 3.19, 4 Sc 3.25
In 0.5000 0.5000 0.5000 [1 per cell]  4 Pa 3.25, 8 In 3.28

Computed properties:
Total magnetic moment, Bohr magnetons per cell: 0.6
DFT formation energy, eV/atom: -0.22
DOS at the Fermi energy, states/eV/atom: 0.91